! PtO4 | OQMD via LeMat-Bulk | PBE-GGA | optimized geometry; values from VASP
&SYSTEM
  ibrav = 0, nat = 5, ntyp = 2
/
ATOMIC_SPECIES
Pt 195.08 Pt.upf
O 16.00 O.upf
CELL_PARAMETERS angstrom
4.448 -1.542 0.000
4.448 1.542 0.000
-2.122 0.000 3.809
ATOMIC_POSITIONS angstrom
Pt 0.000 0.000 0.000
O -0.151 0.000 3.560
O 2.217 0.000 2.568
O 4.557 0.000 1.241
O 6.925 0.000 0.248
! Calculated total energy: -24.7 eV per cell
! Volume: 52 Å³/cell